1.
Density functional theory data (PBE) for ZnCd2Sb after structural relaxation.

The structure belongs to space group Cmmm (No. 65); the cell edges are 4.4694, 4.4771 and 9.0458 Å and the angles 90.00°, 90.00° and 90.00°. The asymmetric unit holds Zn at (0.0000, 0.0000, 0.0000), Cd at (0.0000, 0.5000, 0.2131) and Sb at (0.0000, 0.0000, 0.5000).

For the density, the calculation gives 7.559 Mg/m³. The raw formation energy is 126 meV per atom. As for the crystal system: orthorhombic. The calculation puts the spin magnetization at 0.0 μB per formula unit.

2.
Density functional theory data (PBE) for ZnCdSb2 after structural relaxation.

The structure belongs to space group Cm (No. 8); the cell edges are 8.4987, 4.1545 and 6.3499 Å and the angles 90.00°, 111.27° and 90.00°. The asymmetric unit holds Zn at (0.0000, 0.0000, 0.0000), Cd at (0.2154, 0.0000, 0.7713), Sb at (0.2610, 0.5000, 0.1895) and Sb at (0.4447, 0.0000, 0.5470).

For the density, the calculation gives 6.698 Mg/m³. The raw formation energy is 59 meV per atom. As for the crystal system: monoclinic. The calculation puts the spin magnetization at 0.0 μB per formula unit.

3.
Density functional theory data (PBE) for ZrCd2Sb after structural relaxation.

The structure belongs to space group I-4m2 (No. 119); the cell edges are 4.3281, 4.3281 and 9.5759 Å and the angles 90.00°, 90.00° and 90.00°. The asymmetric unit holds Zr at (0.0000, 0.0000, 0.0000), Cd at (0.0000, 0.0000, 0.5000), Cd at (0.0000, 0.5000, 0.7500) and Sb at (0.0000, 0.5000, 0.2500).

For the density, the calculation gives 8.105 Mg/m³. The raw formation energy is -174 meV per atom. As for the crystal system: tetragonal. The calculation puts the spin magnetization at 0.0 μB per formula unit.

4.
Density functional theory data (PBE) for ZrCd2Sb after structural relaxation.

The structure belongs to space group R-3m (No. 166, hexagonal axes); the cell edges are 3.3196, 3.3196 and 30.2420 Å and the angles 90.00°, 90.00° and 120.00°. The asymmetric unit holds Zr at (0.0000, 0.0000, 0.0000), Cd at (0.0000, 0.0000, 0.2512) and Sb at (0.0000, 0.0000, 0.5000).

For the density, the calculation gives 7.557 Mg/m³. The raw formation energy is 59 meV per atom. As for the crystal system: trigonal. The calculation puts the spin magnetization at 0.0 μB per formula unit.

5.
Density functional theory data (PBE) for Zr5CdSb2 after structural relaxation.

The structure belongs to space group I4/mcm (No. 140); the cell edges are 11.2681, 11.2681 and 5.6325 Å and the angles 90.00°, 90.00° and 90.00°. The asymmetric unit holds Zr at (0.0000, 0.5000, 0.2500), Zr at (0.0778, 0.2239, 0.0000), Cd at (0.0000, 0.0000, 0.2500) and Sb at (0.1635, 0.3365, 0.5000).

For the density, the calculation gives 7.542 Mg/m³. The raw formation energy is -514 meV per atom. As for the crystal system: tetragonal. The calculation puts the spin magnetization at 0.0 μB per formula unit.

6.
Density functional theory data (PBE) for ZrCd2Sb after structural relaxation.

The structure belongs to space group R3m (No. 160, hexagonal axes); the cell edges are 3.3203, 3.3203 and 30.0224 Å and the angles 90.00°, 90.00° and 120.00°. The asymmetric unit holds Zr at (0.0000, 0.0000, 0.0000), Cd at (0.0000, 0.0000, 0.4969), Cd at (0.0000, 0.0000, 0.7487) and Sb at (0.0000, 0.0000, 0.2540).

For the density, the calculation gives 7.609 Mg/m³. The raw formation energy is -60 meV per atom. As for the crystal system: trigonal. The calculation puts the spin magnetization at 0.0 μB per formula unit.

7.
Density functional theory data (PBE) for ZrCdSb2 after structural relaxation.

The structure belongs to space group I4/mmm (No. 139); the cell edges are 4.6070, 4.6070 and 8.9832 Å and the angles 90.00°, 90.00° and 90.00°. The asymmetric unit holds Zr at (0.0000, 0.0000, 0.0000), Cd at (0.0000, 0.0000, 0.5000) and Sb at (0.0000, 0.5000, 0.2500).

For the density, the calculation gives 7.789 Mg/m³. The raw formation energy is -136 meV per atom. As for the crystal system: tetragonal. The calculation puts the spin magnetization at 0.0 μB per formula unit.

8.
Density functional theory data (PBE) for ZrCd2Sb after structural relaxation.

The structure belongs to space group Pm (No. 6); the cell edges are 3.0673, 5.0448 and 5.9908 Å and the angles 90.00°, 91.41° and 90.00°. The asymmetric unit holds Zr at (0.0000, 0.0000, 0.0000), Cd at (0.4204, 0.0000, 0.4931), Cd at (0.6112, 0.5000, 0.2915) and Sb at (0.5062, 0.5000, 0.8145).

For the density, the calculation gives 7.845 Mg/m³. The raw formation energy is -89 meV per atom. As for the crystal system: monoclinic. The calculation puts the spin magnetization at 0.0 μB per formula unit.

9.
Density functional theory data (PBE) for ZrCd2Sb after structural relaxation.

The structure belongs to space group P4mm (No. 99); the cell edges are 3.8435, 3.8435 and 6.2974 Å and the angles 90.00°, 90.00° and 90.00°. The asymmetric unit holds Zr at (0.0000, 0.0000, 0.0000), Cd at (0.0000, 0.0000, 0.5036), Cd at (0.5000, 0.5000, 0.2852) and Sb at (0.5000, 0.5000, 0.8068).

For the density, the calculation gives 7.815 Mg/m³. The raw formation energy is -221 meV per atom. As for the crystal system: tetragonal. The calculation puts the spin magnetization at 0.0 μB per formula unit.

10.
Density functional theory data (PBE) for ZrCd2Sb after structural relaxation.

The structure belongs to space group Cmmm (No. 65); the cell edges are 5.8661, 9.7988 and 3.2337 Å and the angles 90.00°, 90.00° and 90.00°. The asymmetric unit holds Zr at (0.0000, 0.0000, 0.0000), Cd at (0.2500, 0.2500, 0.5000) and Sb at (0.0000, 0.5000, 0.0000).

For the density, the calculation gives 7.822 Mg/m³. The raw formation energy is -90 meV per atom. As for the crystal system: orthorhombic. The calculation puts the spin magnetization at 0.0 μB per formula unit.

11.
Density functional theory data (PBE) for ZrCdSb2 after structural relaxation.

The structure belongs to space group Imm2 (No. 44); the cell edges are 4.2689, 4.2760 and 10.4956 Å and the angles 90.00°, 90.00° and 90.00°. The asymmetric unit holds Zr at (0.0000, 0.0000, 0.0000), Cd at (0.0000, 0.5000, 0.2499), Sb at (0.0000, 0.0000, 0.4994) and Sb at (0.0000, 0.5000, 0.7490).

For the density, the calculation gives 7.751 Mg/m³. The raw formation energy is -170 meV per atom. As for the crystal system: orthorhombic. The calculation puts the spin magnetization at 0.0 μB per formula unit.

12.
Density functional theory data (PBE) for ZrCdSb2 after structural relaxation.

The structure belongs to space group I-42d (No. 122); the cell edges are 6.6338, 6.6338 and 13.0622 Å and the angles 90.00°, 90.00° and 90.00°. The asymmetric unit holds Zr at (0.0000, 0.0000, 0.0000), Cd at (0.0000, 0.0000, 0.5000) and Sb at (0.2421, 0.2500, 0.1250).

For the density, the calculation gives 5.167 Mg/m³. The raw formation energy is -6 meV per atom. As for the crystal system: tetragonal. The calculation puts the spin magnetization at 0.0 μB per formula unit.

13.
Density functional theory data (PBE) for ZrCd2Sb after structural relaxation.

The structure belongs to space group P2/m (No. 10); the cell edges are 3.1226, 5.6805 and 5.2064 Å and the angles 90.00°, 90.69° and 90.00°. The asymmetric unit holds Zr at (0.0000, 0.0000, 0.0000), Cd at (0.2809, 0.5000, 0.2401) and Sb at (0.5000, 0.0000, 0.5000).

For the density, the calculation gives 7.873 Mg/m³. The raw formation energy is -88 meV per atom. As for the crystal system: monoclinic. The calculation puts the spin magnetization at 0.0 μB per formula unit.

14.
Density functional theory data (PBE) for ZrCdSb2 after structural relaxation.

The structure belongs to space group Pmmm (No. 47); the cell edges are 3.8447, 3.8745 and 6.4430 Å and the angles 90.00°, 90.00° and 90.00°. The asymmetric unit holds Zr at (0.0000, 0.0000, 0.0000), Cd at (0.0000, 0.0000, 0.5000) and Sb at (0.5000, 0.5000, 0.2329).

For the density, the calculation gives 7.736 Mg/m³. The raw formation energy is -321 meV per atom. As for the crystal system: orthorhombic. The calculation puts the spin magnetization at 0.0 μB per formula unit.

15.
Density functional theory data (PBE) for ZrCd2Sb after structural relaxation.

The structure belongs to space group P4/mmm (No. 123); the cell edges are 4.2456, 4.2456 and 4.9953 Å and the angles 90.00°, 90.00° and 90.00°. The asymmetric unit holds Zr at (0.0000, 0.0000, 0.0000), Cd at (0.0000, 0.5000, 0.5000) and Sb at (0.5000, 0.5000, 0.0000).

For the density, the calculation gives 8.074 Mg/m³. The raw formation energy is -175 meV per atom. As for the crystal system: tetragonal. The calculation puts the spin magnetization at 0.0 μB per formula unit.